This record from Alexandria describes crystalline Sc2TiPbN at its relaxed geometry. The functional is PBE.

The structure belongs to space group P4/mmm (No. 123); the cell edges are 4.560, 4.560 and 4.159 Å and the angles 90.00°, 90.00° and 90.00°. The inequivalent atoms are Sc at (0.000, 0.500, 0.000), Ti at (0.000, 0.000, 0.500), Pb at (0.500, 0.500, 0.500) and N at (0.000, 0.000, 0.000).

Its total magnetization is 1.00 μB/f.u. The calculated volume comes out at 86 Å³/cell. The energy relative to the elements, uncorrected is -926 meV per atom. For the total energy, the calculation gives -7.44 eV per atom.